1.
PmMg2TcN4 PBE relaxed; formation energy without anion corrections = -4.587 eV per formula unit; total DFT energy (no corrections) = -7.024 eV/atom; total moment = 0.000 μB/f.u.
1.0
1.6526 -5.8027 0.0000
1.6526 5.8027 0.0000
0.0000 0.0000 10.9390
Pm Mg Tc N
2 4 2 8
direct
0.0721 0.9279 0.7500 Pm
0.9279 0.0721 0.2500 Pm
0.3872 0.6128 0.5329 Mg
0.3872 0.6128 0.9671 Mg
0.6128 0.3872 0.0329 Mg
0.6128 0.3872 0.4671 Mg
0.1871 0.8129 0.2500 Tc
0.8129 0.1871 0.7500 Tc
0.0000 0.0000 0.0000 N
0.0000 0.0000 0.5000 N
0.2775 0.7225 0.1173 N
0.2775 0.7225 0.3827 N
0.4152 0.5848 0.7500 N
0.5848 0.4152 0.2500 N
0.7225 0.2775 0.6173 N
0.7225 0.2775 0.8827 N

=====

2.
Pm2MgTlN PBE relaxed; formation energy without anion corrections = -3.608 eV per formula unit; total DFT energy (no corrections) = -5.079 eV/atom; total moment = 0.000 μB/f.u.
1.0
5.0412 0.0000 0.0000
0.0000 5.0412 0.0000
0.0000 0.0000 4.4074
Pm Mg Tl N
2 1 1 1
direct
0.0000 0.5000 0.0000 Pm
0.5000 0.0000 0.0000 Pm
0.0000 0.0000 0.5000 Mg
0.5000 0.5000 0.5000 Tl
0.0000 0.0000 0.0000 N

=====

3.
Pm3Mg2UN6 PBE relaxed; formation energy without anion corrections = -14.426 eV per formula unit; total DFT energy (no corrections) = -7.759 eV/atom; total moment = 0.000 μB/f.u.
1.0
2.9643 -5.1544 0.0000
2.9643 5.1544 0.0000
-1.9229 0.0000 5.6927
Pm Mg U N
3 2 1 6
direct
0.0000 0.0000 0.0000 Pm
0.3284 0.6716 0.0000 Pm
0.6716 0.3284 0.0000 Pm
0.1659 0.8341 0.5000 Mg
0.8341 0.1659 0.5000 Mg
0.5000 0.5000 0.5000 U
0.1115 0.4222 0.2711 N
0.2684 0.2684 0.7294 N
0.4222 0.1115 0.2711 N
0.5778 0.8885 0.7289 N
0.7316 0.7316 0.2706 N
0.8885 0.5778 0.7289 N

=====

4.
PmMg2VN4 PBE relaxed; formation energy without anion corrections = -8.629 eV per formula unit; total DFT energy (no corrections) = -7.374 eV/atom; total moment = 0.000 μB/f.u.
1.0
7.0370 0.0000 0.0000
0.0000 5.9491 0.0000
0.0000 0.0000 5.3446
Pm Mg V N
2 4 2 8
direct
0.0000 0.1473 0.0000 Pm
0.5000 0.8527 0.5000 Pm
0.2461 0.3387 0.5140 Mg
0.2539 0.6613 0.0140 Mg
0.7461 0.6613 0.0140 Mg
0.7539 0.3387 0.5140 Mg
0.0000 0.8101 0.5226 V
0.5000 0.1899 0.0226 V
0.0000 0.1208 0.4648 N
0.0000 0.7814 0.8600 N
0.2134 0.6730 0.4038 N
0.2866 0.3270 0.9038 N
0.5000 0.2186 0.3600 N
0.5000 0.8792 0.9648 N
0.7134 0.3270 0.9038 N
0.7866 0.6730 0.4038 N